First-principles (meta-GGA SCAN) data for GaAsP3 at its PBEsol-relaxed geometry, as listed in the Alexandria database.

Lattice parameters (Å, degrees): 4.583 4.583 4.583 90.00 90.00 90.00
Fractional coordinates of all 5 atoms:
Ga  0.000  0.000  0.000
As  0.500  0.500  0.500
P  0.000  0.000  0.500
P  0.000  0.500  0.000
P  0.500  0.000  0.000

V in Å³/atom: 19.248
Magnetization in μB per atom: 0.00
Uncorrected energy in eV/atom: -12.4001